[1]
Material: CuRu
Method: DFT, PBE-GGA
State: optimized geometry

The value obtained for the density of states at the Fermi level is 2.758 states/eV/cell. The formation energy comes out at 0.87 eV per formula unit.

The space group is P4/mmm (No. 123) and the conventional cell measures 2.9684, 2.9684 and 2.9538 Å, with angles of 90.00, 90.00 and 90.00 degrees. The distinct sites, in fractional coordinates, are Cu at (0.0000, 0.0000, 0.0000) and Ru at (0.5000, 0.5000, 0.5000).


[2]
Material: CoRu2Pt
Method: DFT, PBE-GGA
State: optimized geometry

The value obtained for the density of states at the Fermi level is 20.356 states/eV/cell. The formation energy comes out at 0.28 eV per formula unit.

The space group is F222 (No. 22) and the conventional cell measures 5.3450, 5.3555 and 7.6109 Å, with angles of 90.00, 90.00 and 90.00 degrees. The distinct sites, in fractional coordinates, are Co at (0.0000, 0.0000, 0.0000), Ru at (0.0000, 0.0000, 0.5000), Ru at (0.2500, 0.2500, 0.7500) and Pt at (0.2500, 0.2500, 0.2500).


[3]
Material: TbTeI
Method: DFT, PBE-GGA
State: optimized geometry

The value obtained for the density of states at the Fermi level is 1.576 states/eV/cell. As for the energy relative to the elements, uncorrected: -1.143 eV per atom.

The space group is I4mm (No. 107) and the conventional cell measures 3.8490, 3.8490 and 14.6001 Å, with angles of 90.00, 90.00 and 90.00 degrees. The distinct sites, in fractional coordinates, are Tb at (0.0000, 0.0000, 0.0000), Te at (0.0000, 0.0000, 0.6080) and I at (0.0000, 0.0000, 0.3565).